# GGA+U K3NiF7, optimized geometry
# total magnetic moment	4.154	μB per formula unit
# total DFT energy (no corrections)	-3.8771	eV/atom
data_K3NiF7
_space_group_name_H-M_alt 'P 1'
_space_group_IT_number 1
_space_group_name_Hall 'P 1'
_cell_length_a 6.366
_cell_length_b 6.366
_cell_length_c 6.088
_cell_angle_alpha 117.90
_cell_angle_beta 117.90
_cell_angle_gamma 92.13
loop_
_atom_site_label
_atom_site_type_symbol
_atom_site_fract_x
_atom_site_fract_y
_atom_site_fract_z
K1 K 0.000 0.000 0.000
K2 K 0.238 0.699 0.462
K3 K 0.699 0.238 0.462
Ni1 Ni 0.504 0.504 0.997
F1 F 0.163 0.397 0.627
F2 F 0.343 0.768 0.086
F3 F 0.344 0.344 0.112
F4 F 0.397 0.163 0.627
F5 F 0.653 0.653 0.863
F6 F 0.768 0.343 0.086
F7 F 0.768 0.768 0.407